Material: TbPrTe2O
Method: DFT, PBE-GGA
State: relaxed

a b c (Å): 4.244 4.244 15.851
angles (deg): 90.00 90.00 90.00
Element x y z (fractional)
1 Te 0.500 0.000 0.310
2 Te 0.500 0.000 0.915
3 Te 0.000 0.500 0.085
4 Te 0.000 0.500 0.690
5 O 0.000 0.000 0.500
6 O 0.500 0.500 0.500
7 Tb 0.000 0.500 0.871
8 Tb 0.500 0.000 0.129
9 Pr 0.000 0.500 0.429
10 Pr 0.500 0.000 0.571

Values from the calculation:
Uncorrected formation energy = -10.27 eV/f.u.
Theoretical density = 6.6 g cm⁻³
E_tot = -6.185 eV/atom